# 1
Below is an optimized crystal structure of Tb2Tm3ThTe6, with properties calculated at the PBE level.

Output
Total magnetization, μB per cell: 0.0
Raw formation energy, eV/atom: -1.19
Space-group type: C2/m, No. 12

Cell lengths 4.2518, 8.9198, 9.9455 Å; angles 106.96, 102.34, 90.00 degrees
Closest atoms and distances in Å follow each position.
Fractional positions:
Te: 0.6730 0.0691 0.3460  3 Tm 3.04-3.06, 2 Tb 3.09, 1 Th 3.23
Te: 0.6698 0.5760 0.3395  3 Tm 3.08-3.16, 3 Tb 3.16-3.24
Te: 0.3270 0.9309 0.6540  3 Tm 3.04-3.06, 2 Tb 3.09, 1 Th 3.23
Te: 0.3302 0.4240 0.6605  3 Tm 3.08-3.16, 3 Tb 3.16-3.24
Te: 0.9962 0.2618 0.9923  3 Tm 2.94-2.99, 1 Tb 3.00, 2 Th 3.18
Te: 0.0038 0.7382 0.0077  3 Tm 2.94-2.99, 1 Tb 3.00, 2 Th 3.18
Tm: 0.1623 0.8198 0.3246  6 Te 2.94-3.08
Tm: 0.8377 0.1802 0.6754  6 Te 2.94-3.08
Tm: 0.5000 0.5000 0.0000  6 Te 2.99-3.16
Tb: 0.1556 0.3070 0.3113  6 Te 3.00-3.24
Tb: 0.8444 0.6930 0.6888  6 Te 3.00-3.24
Th: 0.5000 0.0000 0.0000  6 Te 3.18-3.23


# 2
Below is an optimized crystal structure of Ti2VPdN, with properties calculated at the PBE level.

Output
Total magnetization, μB per cell: 0.0
Raw formation energy, eV/atom: -0.89
Space-group type: P4/mmm, No. 123

Cell lengths 4.1608, 4.1608, 3.8568 Å; angles 90.00, 90.00, 90.00 degrees
Closest atoms and distances in Å follow each position.
Fractional positions:
Pd: 0.5000 0.5000 0.5000  8 Ti 2.84, 4 V 2.94
N: 0.0000 0.0000 0.0000  2 V 1.93, 4 Ti 2.08
V: 0.0000 0.0000 0.5000  2 N 1.93
Ti: 0.5000 0.0000 0.0000  2 N 2.08
Ti: 0.0000 0.5000 0.0000  2 N 2.08


# 3
Below is an optimized crystal structure of CaCd2Fe, with properties calculated at the PBE level.

Output
DFT formation energy, eV/atom: 0.19
Total magnetization, μB per cell: 2.5
Space-group type: P4mm, No. 99

Cell lengths 3.3193, 3.3193, 7.9305 Å; angles 90.00, 90.00, 90.00 degrees
Closest atoms and distances in Å follow each position.
Fractional positions:
Cd: 0.5000 0.5000 0.2808  4 Fe 2.78, 4 Cd 3.10
Cd: 0.0000 0.0000 0.0261  8 Cd 3.10-3.32, 4 Ca 3.36
Ca: 0.5000 0.5000 0.7235  4 Fe 3.09, 4 Ca 3.32, 4 Cd 3.36
Fe: 0.0000 0.0000 0.4696  4 Cd 2.78, 4 Ca 3.09


# 4
Below is an optimized crystal structure of NdScSe3, with properties calculated at the PBE level.

Output
Total magnetization, μB per cell: 0.0
Raw formation energy, eV/atom: -1.79
Space-group type: P2_1/m, No. 11
Relative energy among the computed polymorphs, eV per formula unit: 0.000

Cell lengths 4.0239, 7.8405, 8.2047 Å; angles 96.17, 90.00, 90.00 degrees
Closest atoms and distances in Å follow each position.
Fractional positions:
Se: 0.7500 0.6285 0.3931  2 Sc 2.73
Se: 0.7500 0.0901 0.3236  3 Sc 2.76-2.79
Se: 0.7500 0.3002 0.9634  1 Sc 2.60
Se: 0.2500 0.6998 0.0366  1 Sc 2.60
Se: 0.2500 0.9099 0.6764  3 Sc 2.76-2.79
Se: 0.2500 0.3715 0.6069  2 Sc 2.73
Nd: 0.7500 0.6277 0.7760  8 Se 2.95-3.16
Nd: 0.2500 0.3723 0.2240  8 Se 2.95-3.16
Sc: 0.7500 0.1497 0.6650  6 Se 2.60-2.79
Sc: 0.2500 0.8503 0.3350  6 Se 2.60-2.79


# 5
Below is an optimized crystal structure of Ta2Co2Ge, with properties calculated at the PBE level.

Output
DFT formation energy, eV/atom: 0.07
Total magnetization, μB per cell: 0.0
Space-group type: P4/mbm, No. 127
Relative energy among the computed polymorphs, eV per formula unit: 1.256

Cell lengths 7.2032, 7.2032, 2.9527 Å; angles 90.00, 90.00, 90.00 degrees
Closest atoms and distances in Å follow each position.
Fractional positions:
Ta: 0.3380 0.8380 0.0000  6 Co 2.58-2.59, 2 Ge 2.70
Ta: 0.6620 0.1620 0.0000  6 Co 2.58-2.59, 2 Ge 2.70
Ta: 0.8380 0.6620 0.0000  6 Co 2.58-2.59, 2 Ge 2.70
Ta: 0.1620 0.3380 0.0000  6 Co 2.58-2.59, 2 Ge 2.70
Co: 0.6290 0.8710 0.5000  6 Ta 2.58-2.59, 1 Co 2.63
Co: 0.1290 0.6290 0.5000  6 Ta 2.58-2.59, 1 Co 2.63
Co: 0.8710 0.3710 0.5000  6 Ta 2.58-2.59, 1 Co 2.63
Co: 0.3710 0.1290 0.5000  6 Ta 2.58-2.59, 1 Co 2.63
Ge: 0.5000 0.5000 0.0000  4 Ta 2.70, 2 Ge 2.95
Ge: 0.0000 0.0000 0.0000  4 Ta 2.70, 2 Ge 2.95


# 6
Below is an optimized crystal structure of Rb3LiCu2Br9, with properties calculated at the PBE level.

Output
Total magnetization, μB per cell: 0.0
Raw formation energy, eV/atom: -0.98
Space-group type: P-3m1, No. 164

Cell lengths 7.4149, 7.4149, 9.1521 Å; angles 90.00, 90.00, 120.00 degrees
Closest atoms and distances in Å follow each position.
Fractional positions:
Li: 0.0000 0.0000 0.5000  6 Br 2.73
Br: 0.8301 0.1699 0.6792  1 Cu 2.52, 1 Li 2.73
Br: 0.6601 0.8301 0.3208  1 Cu 2.52, 1 Li 2.73
Br: 0.8301 0.6601 0.6792  1 Cu 2.52, 1 Li 2.73
Br: 0.5000 0.0000 0.0000  2 Cu 2.63
Br: 0.3399 0.1699 0.6792  1 Cu 2.52, 1 Li 2.73
Br: 0.5000 0.5000 0.0000  2 Cu 2.63
Br: 0.1699 0.3399 0.3208  1 Cu 2.52, 1 Li 2.73
Br: 0.0000 0.5000 0.0000  2 Cu 2.63
Br: 0.1699 0.8301 0.3208  1 Cu 2.52, 1 Li 2.73
Rb: 0.3333 0.6667 0.6595  12 Br 3.71-3.78
Rb: 0.0000 0.0000 0.0000  12 Br 3.66-3.71
Rb: 0.6667 0.3333 0.3405  12 Br 3.71-3.78
Cu: 0.6667 0.3333 0.8324  6 Br 2.52-2.63
Cu: 0.3333 0.6667 0.1676  6 Br 2.52-2.63


# 7
Below is an optimized crystal structure of Dy2OsRh, with properties calculated at the PBE level.

Output
DFT formation energy, eV/atom: -0.50
Total magnetization, μB per cell: 0.0
Space-group type: P4/mmm, No. 123

Cell lengths 3.4137, 3.4137, 6.8211 Å; angles 90.00, 90.00, 90.00 degrees
Closest atoms and distances in Å follow each position.
Fractional positions:
Dy: 0.0000 0.0000 0.7542  4 Os 2.94, 4 Rh 2.97
Dy: 0.0000 0.0000 0.2458  4 Os 2.94, 4 Rh 2.97
Os: 0.5000 0.5000 0.0000  8 Dy 2.94
Rh: 0.5000 0.5000 0.5000  8 Dy 2.97


# 8
Below is an optimized crystal structure of CsHgPd2, with properties calculated at the PBE level.

Output
DFT formation energy, eV/atom: -0.16
Total magnetization, μB per cell: 0.0
Space-group type: Pmmn, No. 59

Cell lengths 4.8037, 6.3922, 8.2290 Å; angles 90.00, 90.00, 90.00 degrees
Closest atoms and distances in Å follow each position.
Fractional positions:
Cs: 0.0000 0.0344 0.5000  4 Pd 3.42-3.55
Cs: 0.5000 0.9656 0.0000  4 Pd 3.42-3.55
Pd: 0.5000 0.4765 0.1693  3 Hg 2.74-2.78, 3 Pd 2.76-2.79
Pd: 0.5000 0.4765 0.8307  3 Hg 2.74-2.78, 3 Pd 2.76-2.79
Pd: 0.0000 0.5235 0.6693  3 Hg 2.74-2.78, 3 Pd 2.76-2.79
Pd: 0.0000 0.5235 0.3307  3 Hg 2.74-2.78, 3 Pd 2.76-2.79
Hg: 0.0000 0.4679 0.0000  6 Pd 2.74-2.78
Hg: 0.5000 0.5321 0.5000  6 Pd 2.74-2.78


# 9
Below is an optimized crystal structure of RbNaYF6, with properties calculated at the PBE level.

Output
Total magnetization, μB per cell: 2.0
Raw formation energy, eV/atom: -2.96
Space-group type: Imma, No. 74

Cell lengths 8.3552, 7.0967, 8.1057 Å; angles 115.96, 121.02, 90.00 degrees
Closest atoms and distances in Å follow each position.
Fractional positions:
F: 0.1652 0.3430 0.7496  1 Y 2.18, 1 Na 2.31
F: 0.8075 0.0575 0.6149  2 Y 2.20
F: 0.5845 0.9066 0.7496  1 Y 2.18, 1 Na 2.31
F: 0.1652 0.9066 0.7496  1 Y 2.18, 1 Na 2.31
F: 0.8348 0.6570 0.2504  1 Y 2.18, 1 Na 2.31
F: 0.5845 0.3430 0.7496  1 Y 2.18, 1 Na 2.31
F: 0.3722 0.6222 0.7444  2 Na 2.34
F: 0.4155 0.6570 0.2504  1 Y 2.18, 1 Na 2.31
F: 0.6278 0.3778 0.2556  2 Na 2.34
F: 0.8348 0.0934 0.2504  1 Y 2.18, 1 Na 2.31
F: 0.1925 0.9425 0.3851  2 Y 2.20
F: 0.4155 0.0934 0.2504  1 Y 2.18, 1 Na 2.31
Y: 0.0000 0.0000 0.5000  6 F 2.18-2.20
Y: 0.5000 0.0000 0.5000  6 F 2.18-2.20
Na: 0.5000 0.0000 0.0000  6 F 2.31-2.34
Na: 0.5000 0.5000 0.0000  6 F 2.31-2.34
Rb: 0.8643 0.6143 0.7287  5 F 2.83-3.15
Rb: 0.1357 0.3857 0.2713  5 F 2.83-3.15


# 10
Below is an optimized crystal structure of Er2Th2Ir15, with properties calculated at the PBE level.

Output
DFT formation energy, eV/atom: -0.44
Total magnetization, μB per cell: 0.0
Space-group type: R-3m, No. 166

Cell lengths 6.9708, 6.9708, 6.9708 Å; angles 82.68, 82.68, 82.68 degrees
Closest atoms and distances in Å follow each position.
Fractional positions:
Ir: 0.3507 0.8433 0.3507  8 Ir 2.65-2.84, 1 Er 2.88
Ir: 0.3047 0.0000 0.6953  8 Ir 2.66-2.84
Ir: 0.3047 0.6953 0.0000  8 Ir 2.66-2.84
Ir: 0.5000 0.0000 0.0000  8 Ir 2.66-2.69, 2 Er 2.78
Ir: 0.8433 0.3507 0.3507  8 Ir 2.65-2.84, 1 Er 2.88
Ir: 0.6493 0.1567 0.6493  8 Ir 2.65-2.84, 1 Er 2.88
Ir: 0.1567 0.6493 0.6493  8 Ir 2.65-2.84, 1 Er 2.88
Ir: 0.0000 0.3047 0.6953  8 Ir 2.66-2.84
Ir: 0.3507 0.3507 0.8433  8 Ir 2.65-2.84, 1 Er 2.88
Ir: 0.6953 0.0000 0.3047  8 Ir 2.66-2.84
Ir: 0.0000 0.5000 0.0000  8 Ir 2.66-2.69, 2 Er 2.78
Ir: 0.6493 0.6493 0.1567  8 Ir 2.65-2.84, 1 Er 2.88
Ir: 0.0000 0.0000 0.5000  8 Ir 2.66-2.69, 2 Er 2.78
Ir: 0.0000 0.6953 0.3047  8 Ir 2.66-2.84
Ir: 0.6953 0.3047 0.0000  8 Ir 2.66-2.84
Th: 0.6449 0.6449 0.6449  12 Ir 3.15-3.40, 1 Er 3.37
Th: 0.3551 0.3551 0.3551  12 Ir 3.15-3.40, 1 Er 3.37
Er: 0.1062 0.1062 0.1062  6 Ir 2.78-2.88, 1 Er 2.87
Er: 0.8938 0.8938 0.8938  6 Ir 2.78-2.88, 1 Er 2.87


# 11
Below is an optimized crystal structure of MnBe4Pt, with properties calculated at the PBE level.

Output
DFT formation energy, eV/atom: -0.40
Total magnetization, μB per cell: 3.9
Space-group type: F-43m, No. 216

Cell lengths 4.3672, 4.3672, 4.3672 Å; angles 60.00, 60.00, 60.00 degrees
Closest atoms and distances in Å follow each position.
Fractional positions:
Be: 0.6242 0.1273 0.6242  6 Be 2.17-2.20
Be: 0.6242 0.6242 0.6242  6 Be 2.17-2.20
Be: 0.1273 0.6242 0.6242  6 Be 2.17-2.20
Be: 0.6242 0.6242 0.1273  6 Be 2.17-2.20
Mn: 0.2500 0.2500 0.2500  12 Be 2.56, 4 Pt 2.67
Pt: 0.0000 0.0000 0.0000  12 Be 2.56, 4 Mn 2.67


# 12
Below is an optimized crystal structure of YOsRu2, with properties calculated at the PBE level.

Output
DFT formation energy, eV/atom: 0.40
Total magnetization, μB per cell: 2.0
Space-group type: F-43m, No. 216
Relative energy among the computed polymorphs, eV per formula unit: 0.944

Cell lengths 4.5686, 4.5686, 4.5686 Å; angles 60.00, 60.00, 60.00 degrees
Closest atoms and distances in Å follow each position.
Fractional positions:
Y: 0.2500 0.2500 0.2500  4 Ru 2.80, 4 Os 2.80
Os: 0.5000 0.5000 0.5000  4 Ru 2.80, 4 Y 2.80
Ru: 0.0000 0.0000 0.0000  4 Ru 2.80, 4 Y 2.80
Ru: 0.7500 0.7500 0.7500  4 Ru 2.80, 4 Os 2.80